# 1
{
  "formula": "TePtCl2",
  "functional": "PBEsol",
  "state": "optimized geometry",
  "lattice_angstrom": [[-1.9498, 0.3382, 2.6849], [-3.0991, -4.3734, -1.6996], [4.4240, -0.9622, 3.3340]],
  "species": ["Pt", "Cl", "Cl", "Te"],
  "frac_coords": [[0.5000, 0.0000, 0.5000], [0.0000, 0.1685, 0.3315], [0.0000, 0.8315, 0.6685], [0.5000, 0.5000, 0.0000]],
  "density_g_cm3": 7.1,
  "space_group": "Cmmm, No. 65",
  "magmom_total_mub_per_cell": 0.0,
  "n_ef_per_ev_fu": 2.1,
  "raw_formation_energy_ev_per_atom": -0.135
}

---

# 2
{
  "formula": "TePt2Cl2",
  "functional": "PBEsol",
  "state": "optimized geometry",
  "lattice_angstrom": [[-0.4875, -2.3269, 3.1901], [1.7456, -3.0102, -1.9288], [4.7172, 4.4245, 1.4672]],
  "species": ["Cl", "Cl", "Te", "Pt", "Pt"],
  "frac_coords": [[0.7500, 0.2500, 0.5000], [0.2500, 0.7500, 0.5000], [0.0000, 0.0000, 0.0000], [0.6078, 0.6078, 0.2156], [0.3922, 0.3922, 0.7844]],
  "density_g_cm3": 10.3,
  "space_group": "I4/mmm, No. 139",
  "magmom_total_mub_per_cell": 0.0,
  "n_ef_per_ev_fu": 5.6,
  "raw_formation_energy_ev_per_atom": 0.464
}

---

# 3
{
  "formula": "TePtCl2",
  "functional": "PBEsol",
  "state": "optimized geometry",
  "lattice_angstrom": [[-0.3535, -2.7554, 1.2453], [3.3193, -1.9972, -3.4770], [2.4750, 1.6185, 4.2839]],
  "species": ["Pt", "Cl", "Cl", "Te"],
  "frac_coords": [[0.5000, 0.0000, 0.0000], [0.0000, 0.5000, 0.0000], [0.0000, 0.0000, 0.5000], [0.5000, 0.5000, 0.5000]],
  "density_g_cm3": 8.5,
  "space_group": "Cmmm, No. 65",
  "magmom_total_mub_per_cell": 0.0,
  "n_ef_per_ev_fu": 3.9,
  "raw_formation_energy_ev_per_atom": 0.571
}

---

# 4
{
  "formula": "TePtCl2",
  "functional": "PBEsol",
  "state": "optimized geometry",
  "lattice_angstrom": [[-2.7883, -2.3632, 0.9642], [3.4174, -0.3674, 1.5723], [-3.3944, 5.7368, 4.2443]],
  "species": ["Cl", "Cl", "Pt", "Te"],
  "frac_coords": [[0.2206, 0.4412, 0.6665], [0.0180, 0.0359, 0.0489], [0.4956, 0.9911, 0.4885], [0.7659, 0.5317, 0.2961]],
  "density_g_cm3": 6.9,
  "space_group": "Cm, No. 8",
  "magmom_total_mub_per_cell": 0.0,
  "raw_formation_energy_ev_per_atom": -0.454
}

---

# 5
{
  "formula": "TlPt2Cl",
  "functional": "PBEsol",
  "state": "optimized geometry",
  "lattice_angstrom": [[3.3920, 0.0000, 0.0000], [0.0000, 3.3920, 0.0000], [0.0000, 0.0000, 6.2095]],
  "species": ["Pt", "Pt", "Tl", "Cl"],
  "frac_coords": [[0.0000, 0.0000, 0.2308], [0.0000, 0.0000, 0.7692], [0.5000, 0.5000, 0.0000], [0.5000, 0.5000, 0.5000]],
  "density_g_cm3": 14.6,
  "space_group": "P4/mmm, No. 123",
  "magmom_total_mub_per_cell": 0.0,
  "n_ef_per_ev_fu": 0.6,
  "e_above_lowest_polymorph_mev_per_atom": 161.0,
  "raw_formation_energy_ev_per_atom": 0.355
}

---

# 6
{
  "formula": "TlPtCl2",
  "functional": "PBEsol",
  "state": "optimized geometry",
  "lattice_angstrom": [[-3.6316, 1.4911, 2.7267], [-1.5200, -2.6984, 3.6407], [0.8049, 1.3880, 4.5025]],
  "species": ["Cl", "Cl", "Pt", "Tl"],
  "frac_coords": [[0.7500, 0.7500, 0.7500], [0.0000, 0.0000, 0.0000], [0.5000, 0.5000, 0.5000], [0.2500, 0.2500, 0.2500]],
  "density_g_cm3": 10.1,
  "space_group": "F-43m, No. 216",
  "magmom_total_mub_per_cell": 0.0,
  "n_ef_per_ev_fu": 2.8,
  "e_above_lowest_polymorph_mev_per_atom": 189.0,
  "raw_formation_energy_ev_per_atom": 0.257
}

---

# 7
{
  "formula": "TlPt3Cl",
  "functional": "PBEsol",
  "state": "optimized geometry",
  "lattice_angstrom": [[-0.5624, 2.0968, 4.0296], [-4.3550, -1.4037, 0.1226], [1.2919, -3.8189, 2.1675]],
  "species": ["Pt", "Pt", "Pt", "Tl", "Cl"],
  "frac_coords": [[0.0000, 0.0000, 0.5000], [0.5000, 0.0000, 0.0000], [0.0000, 0.5000, 0.0000], [0.5000, 0.5000, 0.5000], [0.0000, 0.0000, 0.0000]],
  "density_g_cm3": 14.3,
  "space_group": "Pm-3m, No. 221",
  "magmom_total_mub_per_cell": 0.0,
  "n_ef_per_ev_fu": 2.4,
  "raw_formation_energy_ev_per_atom": 0.878
}

---

# 8
{
  "formula": "Tl4PtCl",
  "functional": "PBEsol",
  "state": "optimized geometry",
  "lattice_angstrom": [[-4.0326, -2.2648, 3.9125], [0.5430, -5.7122, 1.9431], [1.6301, -1.1088, 5.7282]],
  "species": ["Tl", "Tl", "Tl", "Tl", "Cl", "Pt"],
  "frac_coords": [[0.3747, 0.3747, 0.3747], [0.8759, 0.3747, 0.3747], [0.3747, 0.8759, 0.3747], [0.3747, 0.3747, 0.8759], [0.7500, 0.7500, 0.7500], [0.0000, 0.0000, 0.0000]],
  "density_g_cm3": 11.1,
  "space_group": "F-43m, No. 216",
  "magmom_total_mub_per_cell": 0.0,
  "n_ef_per_ev_fu": 2.9,
  "raw_formation_energy_ev_per_atom": 0.331
}

---

# 9
{
  "formula": "TlPtCl2",
  "functional": "PBEsol",
  "state": "optimized geometry",
  "lattice_angstrom": [[-0.7794, -1.8547, 3.0328], [1.8047, -3.0643, 0.7735], [6.4398, 3.0751, 5.7191]],
  "species": ["Tl", "Cl", "Cl", "Pt"],
  "frac_coords": [[0.0000, 0.0000, 0.0000], [0.1151, 0.1151, 0.6548], [0.8849, 0.8849, 0.3452], [0.5000, 0.5000, 0.5000]],
  "density_g_cm3": 7.7,
  "space_group": "R-3m, No. 166",
  "magmom_total_mub_per_cell": 1.6,
  "n_ef_per_ev_fu": 2.6,
  "e_above_lowest_polymorph_mev_per_atom": 0.0,
  "raw_formation_energy_ev_per_atom": 0.068
}

---

# 10
{
  "formula": "TlPt2Cl",
  "functional": "PBEsol",
  "state": "optimized geometry",
  "lattice_angstrom": [[2.9794, 0.0000, 0.0000], [0.0000, 5.1726, 0.0000], [-1.4897, -2.5863, 4.5688]],
  "species": ["Cl", "Tl", "Pt", "Pt"],
  "frac_coords": [[0.0000, 0.5000, 0.0000], [0.5000, 0.0000, 0.0000], [0.7490, 0.7490, 0.4981], [0.2510, 0.2510, 0.5019]],
  "density_g_cm3": 14.9,
  "space_group": "Immm, No. 71",
  "magmom_total_mub_per_cell": 0.0,
  "n_ef_per_ev_fu": 2.0,
  "e_above_lowest_polymorph_mev_per_atom": 0.0,
  "raw_formation_energy_ev_per_atom": 0.194
}

---

# 11
{
  "formula": "YTlPt2Cl",
  "functional": "PBEsol",
  "state": "optimized geometry",
  "lattice_angstrom": [[4.9442, 0.0000, 0.0000], [0.0000, 4.9442, 0.0000], [0.0000, 0.0000, 5.7423]],
  "species": ["Pt", "Pt", "Cl", "Tl", "Y"],
  "frac_coords": [[0.0000, 0.5000, 0.0000], [0.5000, 0.0000, 0.0000], [0.5000, 0.5000, 0.5000], [0.0000, 0.0000, 0.0000], [0.0000, 0.0000, 0.5000]],
  "density_g_cm3": 8.5,
  "space_group": "P4/mmm, No. 123",
  "magmom_total_mub_per_cell": 0.0,
  "n_ef_per_ev_fu": 3.9,
  "raw_formation_energy_ev_per_atom": 0.646
}

---

# 12
{
  "formula": "Pt2WCl",
  "functional": "PBEsol",
  "state": "optimized geometry",
  "lattice_angstrom": [[2.8030, 0.0000, 0.0000], [-1.4015, 4.3966, 0.0579], [0.0000, -0.9750, 6.4703]],
  "species": ["Cl", "Pt", "Pt", "W"],
  "frac_coords": [[0.8897, 0.7795, 0.2823], [0.9457, 0.8914, 0.9198], [0.2026, 0.4051, 0.7183], [0.4620, 0.9240, 0.5797]],
  "density_g_cm3": 12.7,
  "space_group": "Cm, No. 8",
  "magmom_total_mub_per_cell": 0.0,
  "n_ef_per_ev_fu": 1.8,
  "e_above_lowest_polymorph_mev_per_atom": 168.0,
  "raw_formation_energy_ev_per_atom": 0.073
}

---

# 13
{
  "formula": "Pt2WCl",
  "functional": "PBEsol",
  "state": "optimized geometry",
  "lattice_angstrom": [[2.8288, 0.0000, 0.0000], [1.4144, 2.4498, 0.0000], [1.4144, 0.8166, 9.2804]],
  "species": ["Pt", "Pt", "W", "Cl"],
  "frac_coords": [[0.7573, 0.7573, 0.7280], [0.0077, 0.0077, 0.9768], [0.5009, 0.5009, 0.4972], [0.2340, 0.2340, 0.2980]],
  "density_g_cm3": 15.7,
  "space_group": "R3m, No. 160",
  "magmom_total_mub_per_cell": 0.0,
  "n_ef_per_ev_fu": 2.3,
  "e_above_lowest_polymorph_mev_per_atom": 131.5,
  "raw_formation_energy_ev_per_atom": 0.037
}

---

# 14
{
  "formula": "PtW2Cl",
  "functional": "PBEsol",
  "state": "optimized geometry",
  "lattice_angstrom": [[2.8630, 0.0000, 0.0000], [0.0000, 4.7779, 0.0000], [-1.4315, -2.3890, 4.4718]],
  "species": ["Pt", "W", "W", "Cl"],
  "frac_coords": [[0.0000, 0.5000, 0.0000], [0.7706, 0.7706, 0.5412], [0.2294, 0.2294, 0.4588], [0.5000, 0.0000, 0.0000]],
  "density_g_cm3": 16.2,
  "space_group": "Immm, No. 71",
  "magmom_total_mub_per_cell": 0.0,
  "n_ef_per_ev_fu": 3.3,
  "e_above_lowest_polymorph_mev_per_atom": 310.9,
  "raw_formation_energy_ev_per_atom": 0.707
}

---

# 15
{
  "formula": "PtW2Cl",
  "functional": "PBEsol",
  "state": "optimized geometry",
  "lattice_angstrom": [[-2.5659, -0.4492, -0.8434], [2.6017, -2.1240, -3.8337], [0.0765, -2.8412, 4.2308]],
  "species": ["W", "W", "Pt", "Cl"],
  "frac_coords": [[0.0000, 0.0000, 0.5000], [0.0000, 0.5000, 0.0000], [0.5000, 0.5000, 0.5000], [0.5000, 0.0000, 0.0000]],
  "density_g_cm3": 16.0,
  "space_group": "C2/m, No. 12",
  "magmom_total_mub_per_cell": 0.0,
  "n_ef_per_ev_fu": 3.3,
  "e_above_lowest_polymorph_mev_per_atom": 404.3,
  "raw_formation_energy_ev_per_atom": 0.801
}